# Na2AsC (PBE-GGA, optimized geometry)
# Density of states at the Fermi level (states/eV/cell): 5.4
# Final energy (eV per atom): -2.990
# Energy relative to the lowest polymorph listed for this composition (meV/atom): 517.5
data_Na2AsC
_chemical_formula_sum 'Na8 As4 C4'
_symmetry_space_group_name_H-M 'F m -3 m'
_symmetry_Int_Tables_number 225
_symmetry_space_group_name_Hall '-F 4 2 3'
_cell_length_a 6.636
_cell_length_b 6.636
_cell_length_c 6.636
_cell_angle_alpha 90.00
_cell_angle_beta 90.00
_cell_angle_gamma 90.00
loop_
_atom_site_label
_atom_site_type_symbol
_atom_site_fract_x
_atom_site_fract_y
_atom_site_fract_z
Na1 Na 0.250 0.250 0.250
As1 As 0.000 0.000 0.000
C1 C 0.000 0.000 0.500